# Ac2ZnAg, optimized geometry, DFT PBE-GGA
data_Ac2ZnAg
_chemical_formula_sum 'Ac2 Zn1 Ag1'
_cell_length_a 3.946
_cell_length_b 3.946
_cell_length_c 7.860
_cell_angle_alpha 90.00
_cell_angle_beta 90.00
_cell_angle_gamma 90.00
_space_group_name_H-M_alt 'P 4/m m m'
_space_group_IT_number 123
_space_group_name_Hall '-P 4 2'
loop_
_atom_site_label
_atom_site_fract_x
_atom_site_fract_y
_atom_site_fract_z
Ac1 0.000 0.000 0.246
Zn1 0.500 0.500 0.000
Ag1 0.500 0.500 0.500
# **Relative energy among the computed polymorphs**: 0.00 eV per formula unit
# **Total magnetic moment**: 0.00 μB per formula unit
# **Calculated volume**: 30.6 A^3/atom
# **Energy of formation from the pure elements**: -0.26 eV/atom